Compound: CaTcP2Ru
Source: the Alexandria database
Functional: PBE
Structure: relaxed

Summary:
N(E_F) (states/eV/atom): 0.58
Mass density (g cm⁻³): 6.03
ΔH_f (0 K) (eV per atom): -0.85

abc: 5.6625 5.6625 5.6625
angles: 137.17 137.17 62.17
With the nearest neighbours (Å) after each atom.
Fractional coordinates of all 5 atoms:
1 Ca 0.0000 0.0000 0.0000  4 Tc 3.19, 4 Ru 3.19, 10 P 3.20-3.54
2 Tc 0.7500 0.2500 0.5000  4 P 2.35
3 P 0.3652 0.3652 0.0000  2 Tc 2.35, 2 Ru 2.35, 1 P 2.62
4 P 0.6348 0.6348 0.0000  2 Tc 2.35, 2 Ru 2.35, 1 P 2.62
5 Ru 0.2500 0.7500 0.5000  4 P 2.35


Compound: La4TeAs2S
Source: the Alexandria database
Functional: PBE
Structure: relaxed

Summary:
N(E_F) (states/eV/atom): 0.44
E_form (uncorrected) (eV per atom): -1.739
Mass density (g cm⁻³): 6.03

abc: 8.7674 8.7674 8.7674
angles: 120.33 119.67 90.00
With the nearest neighbours (Å) after each atom.
Fractional coordinates of all 16 atoms:
1 La 0.2580 0.2580 0.5000  3 As 3.00-3.10, 2 S 3.10, 1 Te 3.20
2 La 0.2580 0.7580 0.0000  3 As 3.00-3.10, 2 S 3.10, 1 Te 3.20
3 La 0.2656 0.2495 0.0162  3 As 3.00-3.11, 1 S 3.10, 2 Te 3.20
4 La 0.2667 0.7505 0.5162  3 As 3.00-3.11, 1 S 3.10, 2 Te 3.20
5 La 0.7333 0.2495 0.4838  3 As 3.00-3.11, 1 S 3.10, 2 Te 3.20
6 La 0.7344 0.7505 0.9838  3 As 3.00-3.11, 1 S 3.10, 2 Te 3.20
7 La 0.7420 0.2420 0.0000  3 As 3.00-3.10, 2 S 3.10, 1 Te 3.20
8 La 0.7420 0.7420 0.5000  3 As 3.00-3.10, 2 S 3.10, 1 Te 3.20
9 Te 0.0000 0.0000 0.5000  6 La 3.20
10 Te 0.0000 0.5000 0.0000  6 La 3.20
11 As 0.0000 0.5000 0.5000  6 La 3.10-3.11
12 As 0.5000 0.0000 0.0000  6 La 3.00
13 As 0.5000 0.5000 0.0000  6 La 3.10-3.11
14 As 0.5000 0.5000 0.5000  6 La 3.00
15 S 0.0000 0.0000 0.0000  6 La 3.10
16 S 0.5000 0.0000 0.5000  6 La 3.10


Compound: UH12Rh7
Source: the Alexandria database
Functional: PBE
Structure: relaxed

Summary:
DFT total energy (Ry/atom): -0.37831
N(E_F) (states/eV/atom): 0.33
Mass density (g cm⁻³): 7.18

abc: 6.2338 6.2338 6.2338
angles: 101.76 101.76 101.76
With the nearest neighbours (Å) after each atom.
Fractional coordinates of all 20 atoms:
1 U 0.0000 0.0000 0.0000  6 Rh 2.57
2 H 0.1193 0.5000 0.8807  2 Rh 1.74
3 H 0.1193 0.8807 0.5000  2 Rh 1.74
4 H 0.1932 0.4498 0.4498  3 Rh 1.82-1.86
5 H 0.4498 0.1932 0.4498  3 Rh 1.82-1.86
6 H 0.4498 0.4498 0.1932  3 Rh 1.82-1.86
7 H 0.5000 0.1193 0.8807  2 Rh 1.74
8 H 0.5000 0.8807 0.1193  2 Rh 1.74
9 H 0.5502 0.5502 0.8068  3 Rh 1.82-1.86
10 H 0.5502 0.8068 0.5502  3 Rh 1.82-1.86
11 H 0.8068 0.5502 0.5502  3 Rh 1.82-1.86
12 H 0.8807 0.1193 0.5000  2 Rh 1.74
13 H 0.8807 0.5000 0.1193  2 Rh 1.74
14 Rh 0.1419 0.1419 0.4340  4 H 1.74-1.86
15 Rh 0.1419 0.4340 0.1419  4 H 1.74-1.86
16 Rh 0.4340 0.1419 0.1419  4 H 1.74-1.86
17 Rh 0.5000 0.5000 0.5000  6 H 1.82
18 Rh 0.5660 0.8581 0.8581  4 H 1.74-1.86
19 Rh 0.8581 0.5660 0.8581  4 H 1.74-1.86
20 Rh 0.8581 0.8581 0.5660  4 H 1.74-1.86


Compound: CrAs2Au
Source: the Alexandria database
Functional: PBE
Structure: relaxed

Summary:
N(E_F) (states/eV/atom): 0.51
Mass density (g cm⁻³): 7.97
ΔH_f (0 K) (eV per atom): 0.24

abc: 6.1119 6.1119 6.1119
angles: 144.10 141.36 53.76
With the nearest neighbours (Å) after each atom.
Fractional coordinates of all 4 atoms:
1 Cr 0.0000 0.0000 0.0000  4 As 2.56, 4 Au 2.76
2 As 0.1595 0.6595 0.5000  2 Cr 2.56, 2 Au 2.67
3 As 0.8405 0.3405 0.5000  2 Cr 2.56, 2 Au 2.67
4 Au 0.5000 0.5000 0.0000  4 As 2.67, 4 Cr 2.76


Compound: MgAl2N
Source: the Alexandria database
Functional: PBE
Structure: relaxed

Summary:
N(E_F) (states/eV/atom): 0.57
E_form (uncorrected) (eV per atom): 1.038
Mass density (g cm⁻³): 2.40

abc: 4.4860 4.4860 4.4860
angles: 60.00 60.00 60.00
With the nearest neighbours (Å) after each atom.
Fractional coordinates of all 4 atoms:
1 Mg 0.0000 0.0000 0.0000  8 Al 2.75
2 Al 0.2500 0.2500 0.2500  4 N 2.75, 4 Mg 2.75
3 Al 0.7500 0.7500 0.7500  4 N 2.75, 4 Mg 2.75
4 N 0.5000 0.5000 0.5000  8 Al 2.75


Compound: Mg2Cr2I
Source: the Alexandria database
Functional: PBE
Structure: relaxed

Summary:
N(E_F) (states/eV/atom): 0.80
E_form (uncorrected) (eV per atom): 0.850
Mass density (g cm⁻³): 4.01

abc: 5.3809 5.3809 3.9985
angles: 90.00 90.00 90.00
With the nearest neighbours (Å) after each atom.
Fractional coordinates of all 5 atoms:
1 Mg 0.0000 0.5000 0.0000  2 Cr 2.69
2 Mg 0.5000 0.0000 0.0000  2 Cr 2.69
3 Cr 0.0000 0.0000 0.0000  2 Cr 2.00
4 Cr 0.0000 0.0000 0.5000  2 Cr 2.00
5 I 0.5000 0.5000 0.5000  8 Mg 3.35


Compound: K2HgSe2
Source: the Alexandria database
Functional: PBE
Structure: relaxed

Summary:
E_form (uncorrected) (eV per atom): -0.827
Mass density (g cm⁻³): 3.67

abc: 8.2020 8.2020 9.1537
angles: 116.87 116.87 47.48
With the nearest neighbours (Å) after each atom.
Fractional coordinates of all 10 atoms:
1 K 0.0331 0.0331 0.2552  4 Se 3.24-3.34
2 K 0.3314 0.3314 0.9190  5 Se 3.31-3.57
3 K 0.6686 0.6686 0.0810  5 Se 3.31-3.57
4 K 0.9669 0.9669 0.7448  4 Se 3.24-3.34
5 Hg 0.3459 0.3459 0.3850  2 Se 2.50-2.51
6 Hg 0.6541 0.6541 0.6150  2 Se 2.50-2.51
7 Se 0.1878 0.1878 0.1037  1 Hg 2.50
8 Se 0.4698 0.4698 0.6948  1 Hg 2.51
9 Se 0.5302 0.5302 0.3052  1 Hg 2.51
10 Se 0.8122 0.8122 0.8963  1 Hg 2.50